The following is a DFT calculation (GGA-PBE) of a relaxed Nb2Tl4Se11 crystal.

Results
**Uncorrected energy**: -152.76 eV per cell
**Calculated volume**: 1037.5 Å³/cell

Unit cell a=8.2664 b=9.3596 c=14.0727 alpha=107.21 beta=89.77 gamma=93.87
Positions (direct):
Se  0.9706  0.1332  0.7522
Se  0.9836  0.7157  0.4663
Se  0.4597  0.3085  0.8785
Se  0.6629  0.8626  0.6661
Se  0.0294  0.8668  0.2478
Nb  0.3327  0.8904  0.1885
Se  0.4114  0.9198  0.7483
Se  0.0164  0.2843  0.5337
Tl  0.7882  0.9773  0.4234
Se  0.5403  0.6915  0.1215
Se  0.1083  0.5054  0.8154
Se  0.0603  0.3465  0.2514
Nb  0.8742  0.3637  0.6939
Nb  0.1258  0.6363  0.3061
Tl  0.9512  0.7605  0.0176
Se  0.3371  0.1374  0.3339
Se  0.3873  0.8249  0.3739
Tl  0.7715  0.4184  0.4162
Se  0.6009  0.4370  0.6419
Se  0.7319  0.0363  0.9601
Se  0.9397  0.6535  0.7486
Se  0.6127  0.1751  0.6261
Se  0.3991  0.5630  0.3581
Se  0.2628  0.5978  0.1131
Se  0.7372  0.4022  0.8869
Tl  0.2118  0.0227  0.5766
Tl  0.5005  0.7319  0.8953
Se  0.8917  0.4946  0.1846
Tl  0.0488  0.2395  0.9824
Se  0.5886  0.0802  0.2517
Tl  0.2285  0.5816  0.5838
Nb  0.6673  0.1096  0.8115
Tl  0.4995  0.2681  0.1047
Se  0.2681  0.9637  0.0399

---

The following is a DFT calculation (GGA-PBE) of a relaxed Nb9TlSe12 crystal.

Results
**Uncorrected energy**: -306.92 eV per cell
**Calculated volume**: 940.1 Å³/cell

Unit cell a=10.7596 b=10.7596 c=10.7596 alpha=109.99 beta=109.99 gamma=109.99
Positions (direct):
Nb  0.7819  0.2948  0.6754
Nb  0.0398  0.6593  0.5521
Nb  0.3246  0.2181  0.7052
Nb  0.3407  0.4479  0.9602
Nb  0.6593  0.5521  0.0398
Nb  0.5521  0.0398  0.6593
Se  0.7498  0.0835  0.4167
Nb  0.6264  0.0082  0.1146
Tl  0.0000  0.0000  0.0000
Se  0.1572  0.8761  0.2181
Se  0.5107  0.7917  0.4500
Se  0.7917  0.4500  0.5107
Se  0.1767  0.4562  0.1161
Tl  0.5000  0.5000  0.5000
Se  0.4167  0.7498  0.0835
Nb  0.2181  0.7052  0.3246
Nb  0.1146  0.6264  0.0082
Nb  0.7052  0.3246  0.2181
Nb  0.9918  0.8854  0.3736
Nb  0.4479  0.9602  0.3407
Se  0.8761  0.2181  0.1572
Se  0.9165  0.5833  0.2502
Se  0.8839  0.8233  0.5438
Se  0.5833  0.2502  0.9165
Se  0.5438  0.8839  0.8233
Nb  0.6754  0.7819  0.2948
Se  0.8428  0.1239  0.7819
Se  0.2502  0.9165  0.5833
Nb  0.0082  0.1146  0.6264
Nb  0.2948  0.6754  0.7819
Se  0.4500  0.5107  0.7917
Nb  0.9602  0.3407  0.4479
Se  0.2083  0.5500  0.4893
Se  0.8233  0.5438  0.8839
Se  0.2181  0.1572  0.8761
Se  0.1161  0.1767  0.4562
Se  0.4562  0.1161  0.1767
Nb  0.8854  0.3736  0.9918
Nb  0.3736  0.9918  0.8854
Se  0.4893  0.2083  0.5500
Se  0.7819  0.8428  0.1239
Se  0.0835  0.4167  0.7498
Se  0.5500  0.4893  0.2083
Se  0.1239  0.7819  0.8428

---

The following is a DFT calculation (GGA-PBE) of a relaxed NbTlSe4 crystal.

Results
**Excess energy over the best structure of this formula in the dataset**: 0.0 meV per atom
**Uncorrected energy**: -58.60 eV per cell
**Calculated volume**: 316.2 Å³/cell

Unit cell a=6.5044 b=7.7962 c=7.9400 alpha=60.60 beta=77.73 gamma=64.34
Positions (direct):
Tl  0.7500  0.3673  0.2654
Se  0.8607  0.3494  0.8430
Se  0.9596  0.9289  0.2969
Nb  0.7500  0.0006  0.9988
Tl  0.2500  0.6327  0.7346
Se  0.5404  0.7742  0.2969
Se  0.6393  0.8077  0.8430
Nb  0.2500  0.9994  0.0012
Se  0.1393  0.6506  0.1570
Se  0.4596  0.2258  0.7031
Se  0.3607  0.1923  0.1570
Se  0.0404  0.0711  0.7031

---

The following is a DFT calculation (GGA-PBE) of a relaxed UNb2Tl2Se6 crystal.

Results
**Uncorrected energy**: -65.61 eV per cell
**Calculated volume**: 300.0 Å³/cell

Unit cell a=6.4123 b=6.4123 c=8.3925 alpha=95.76 beta=95.76 gamma=117.62
Last column: magnetic moment on the atom in μB.
Positions (direct):
Tl  0.8256  0.1744  0.0000  0.00
Se  0.9513  0.5949  0.3122  -0.03
U  0.0000  0.0000  0.5000  1.52
Nb  0.3649  0.6351  0.5000  0.20
Se  0.7223  0.7223  0.7195  -0.03
Se  0.0487  0.4051  0.6878  -0.03
Se  0.4051  0.0487  0.6878  -0.03
Tl  0.1744  0.8256  0.0000  0.00
Se  0.2777  0.2777  0.2805  -0.03
Se  0.5949  0.9513  0.3122  -0.03
Nb  0.6351  0.3649  0.5000  0.20

---

The following is a DFT calculation (GGA-PBE) of a relaxed Nb2Tl2VSe6 crystal.

Results
**Uncorrected energy**: -62.16 eV per cell
**Calculated volume**: 281.4 Å³/cell

Unit cell a=6.3109 b=6.3109 c=8.4199 alpha=96.05 beta=96.05 gamma=120.82
Last column: magnetic moment on the atom in μB.
Positions (direct):
Tl  0.1816  0.8184  0.0000  0.01
Se  0.0428  0.3820  0.6783  -0.02
Se  0.3820  0.0428  0.6783  -0.02
Se  0.9572  0.6180  0.3217  -0.02
Nb  0.3639  0.6361  0.5000  0.07
Tl  0.8184  0.1816  0.0000  0.01
V  0.0000  0.0000  0.5000  1.71
Nb  0.6361  0.3639  0.5000  0.07
Se  0.6180  0.9572  0.3217  -0.02
Se  0.2531  0.2531  0.2873  -0.02
Se  0.7469  0.7469  0.7127  -0.02

---

The following is a DFT calculation (GGA-PBE) of a relaxed NbTl3V2Se6 crystal.

Results
**Uncorrected energy**: -63.27 eV per cell
**Calculated volume**: 278.9 Å³/cell

Unit cell a=6.1730 b=6.1730 c=10.4183 alpha=106.01 beta=106.01 gamma=121.59
Positions (direct):
Se  0.4840  0.8370  0.8299
Tl  0.8246  0.1754  0.5000
Nb  0.0000  0.0000  0.0000
Se  0.5160  0.1630  0.1701
Se  0.8370  0.4840  0.8299
Tl  0.5000  0.5000  0.5000
Se  0.1424  0.1424  0.8015
Se  0.1630  0.5160  0.1701
Tl  0.1754  0.8246  0.5000
V  0.3679  0.6321  0.0000
V  0.6321  0.3679  0.0000
Se  0.8576  0.8576  0.1985

---

The following is a DFT calculation (GGA-PBE) of a relaxed ZrNb2Tl2Se6 crystal.

Results
**Uncorrected energy**: -63.44 eV per cell
**Calculated volume**: 292.3 Å³/cell

Unit cell a=6.4193 b=6.4193 c=8.3585 alpha=95.64 beta=95.64 gamma=120.04
Positions (direct):
Se  0.6023  0.9563  0.3167
Se  0.7306  0.7306  0.7207
Nb  0.6322  0.3678  0.5000
Zr  0.0000  0.0000  0.5000
Se  0.9563  0.6023  0.3167
Se  0.3977  0.0437  0.6833
Nb  0.3678  0.6322  0.5000
Se  0.0437  0.3977  0.6833
Tl  0.1763  0.8237  0.0000
Tl  0.8237  0.1763  0.0000
Se  0.2694  0.2694  0.2793

---

The following is a DFT calculation (GGA-PBE) of a relaxed TmNb4Se8 crystal.

Results
**Uncorrected energy**: -85.03 eV per cell
**Calculated volume**: 299.3 Å³/cell

Unit cell a=7.0964 b=7.0964 c=7.9926 alpha=90.00 beta=116.36 gamma=120.00
Positions (direct):
Tm  0.0000  0.5000  0.5000
Se  0.9986  0.2417  0.7555
Se  0.4935  0.7468  0.2403
Se  0.0014  0.7583  0.2445
Se  0.4863  0.2431  0.2445
Se  0.5065  0.2532  0.7597
Nb  0.0000  0.0000  0.0000
Se  0.9986  0.7569  0.7555
Se  0.5137  0.7569  0.7555
Nb  0.5000  0.0000  0.0000
Se  0.0014  0.2431  0.2445
Nb  0.5000  0.5000  0.0000
Nb  0.0000  0.5000  0.0000

---

The following is a DFT calculation (GGA-PBE) of a relaxed Tm2NbSe crystal.

Results
**Uncorrected energy**: -22.77 eV per cell
**Calculated volume**: 100.2 Å³/cell

Unit cell a=3.4784 b=3.4784 c=9.7691 alpha=79.74 beta=79.74 gamma=60.00
Last column: magnetic moment on the atom in μB.
Positions (direct):
Tm  0.0998  0.0998  0.7006  0.04
Tm  0.9002  0.9002  0.2994  0.04
Nb  0.0000  0.0000  0.0000  0.25
Se  0.5000  0.5000  0.5000  0.00

---

The following is a DFT calculation (GGA-PBE) of a relaxed TmNb2Se6 crystal.

Results
**Uncorrected energy**: -52.83 eV per cell
**Calculated volume**: 248.6 Å³/cell

Unit cell a=4.7380 b=6.8824 c=8.6295 alpha=73.75 beta=74.07 gamma=69.87
Positions (direct):
Se  0.0261  0.1646  0.7832
Nb  0.8450  0.2145  0.0955
Tm  0.0000  0.5000  0.5000
Nb  0.1550  0.7855  0.9045
Se  0.3505  0.6807  0.6182
Se  0.9739  0.8354  0.2168
Se  0.6984  0.6495  0.9536
Se  0.6495  0.3193  0.3818
Se  0.3016  0.3505  0.0464

---

The following is a DFT calculation (GGA-PBE) of a relaxed TmNbSe2 crystal.

Results
**Uncorrected energy**: -24.21 eV per cell
**Calculated volume**: 96.5 Å³/cell

Unit cell a=3.5168 b=3.5168 c=9.2313 alpha=79.02 beta=79.02 gamma=60.00
Positions (direct):
Se  0.1038  0.1038  0.6885
Nb  0.5000  0.5000  0.5000
Se  0.8962  0.8962  0.3115
Tm  0.0000  0.0000  0.0000

---

The following is a DFT calculation (GGA-PBE) of a relaxed UNb2Se5 crystal.

Results
**Uncorrected energy**: -53.63 eV per cell
**Calculated volume**: 241.5 Å³/cell

Unit cell a=5.1197 b=7.3405 c=7.3197 alpha=82.99 beta=69.53 gamma=69.59
Last column: magnetic moment on the atom in μB.
Positions (direct):
Se  0.7897  0.2530  0.1676  -0.03
Se  0.5427  0.7470  0.1676  -0.03
Se  0.0000  0.5000  0.5000  -0.04
Nb  0.1929  0.5000  0.1143  0.26
Se  0.2103  0.7470  0.8324  -0.03
Nb  0.8071  0.5000  0.8857  0.26
U  0.5000  0.5000  0.5000  1.95
Se  0.4573  0.2530  0.8324  -0.03

---

The following is a DFT calculation (GGA-PBE) of a relaxed UNbSe6 crystal.

Results
**Uncorrected energy**: -46.41 eV per cell
**Calculated volume**: 229.5 Å³/cell

Unit cell a=6.6394 b=7.0937 c=7.4885 alpha=58.12 beta=55.65 gamma=56.02
Positions (direct):
Se  0.3597  0.8474  0.1398
Se  0.0736  0.3955  0.7654
Se  0.9264  0.6045  0.2346
Nb  0.0000  0.0000  0.0000
Se  0.6412  0.1521  0.3473
U  0.5000  0.5000  0.5000
Se  0.3588  0.8479  0.6527
Se  0.6403  0.1526  0.8602

---

The following is a DFT calculation (GGA-PBE) of a relaxed UNbSe crystal.

Results
**Uncorrected energy**: -25.38 eV per cell
**Calculated volume**: 61.5 Å³/cell

Unit cell a=3.3534 b=3.3534 c=5.9633 alpha=106.33 beta=106.33 gamma=90.00
Last column: magnetic moment on the atom in μB.
Positions (direct):
Se  0.3079  0.3079  0.6157  -0.02
U  0.0033  0.0033  0.0067  2.22
Nb  0.6888  0.6888  0.3776  0.00

---

The following is a DFT calculation (GGA-PBE) of a relaxed UNbSe3 crystal.

Results
**Excess energy over the best structure of this formula in the dataset**: 55.1 meV per atom
**Uncorrected energy**: -72.13 eV per cell
**Calculated volume**: 248.8 Å³/cell

Unit cell a=3.6733 b=6.4211 c=10.7076 alpha=90.00 beta=99.88 gamma=90.00
Last column: magnetic moment on the atom in μB.
Positions (direct):
Nb  0.1683  0.4794  0.3367  -0.08
Nb  0.8317  0.9794  0.6633  -0.08
U  0.3397  0.5021  0.6794  1.66
Se  0.2519  0.1633  0.5039  -0.03
U  0.6603  0.0021  0.3206  1.66
Se  0.5872  0.3504  0.1743  -0.04
Se  0.9157  0.2988  0.8314  -0.05
Se  0.0843  0.7988  0.1686  -0.05
Se  0.7481  0.6633  0.4961  -0.03
Se  0.4128  0.8504  0.8257  -0.04

---

The following is a DFT calculation (GGA-PBE) of a relaxed UNb2Se3 crystal.

Results
**Uncorrected energy**: -90.59 eV per cell
**Calculated volume**: 253.2 Å³/cell

Unit cell a=3.4235 b=7.5956 c=10.0357 alpha=80.13 beta=99.82 gamma=90.00
Last column: magnetic moment on the atom in μB.
Positions (direct):
Se  0.5684  0.3615  0.1368  -0.02
Nb  0.0434  0.1276  0.0868  0.07
Nb  0.6781  0.5359  0.3561  0.04
Se  0.9003  0.2256  0.8006  -0.01
Se  0.0997  0.7744  0.1994  -0.01
Se  0.2235  0.2806  0.4471  -0.02
Nb  0.9566  0.8724  0.9132  0.07
Se  0.7765  0.7194  0.5529  -0.02
U  0.3317  0.9734  0.6634  2.12
Se  0.4316  0.6385  0.8632  -0.02
U  0.6683  0.0266  0.3366  2.12
Nb  0.3219  0.4641  0.6439  0.04

---

The following is a DFT calculation (GGA-PBE) of a relaxed UNbSe3 crystal.

Results
**Excess energy over the best structure of this formula in the dataset**: 0.0 meV per atom
**Uncorrected energy**: -72.68 eV per cell
**Calculated volume**: 233.4 Å³/cell

Unit cell a=6.3984 b=6.7744 c=6.5617 alpha=80.07 beta=68.58 gamma=61.82
Last column: magnetic moment on the atom in μB.
Positions (direct):
Se  0.7380  0.0000  0.2763  -0.05
Nb  0.3183  0.3634  0.5000  -0.11
Se  0.2620  0.0000  0.7237  -0.05
Se  0.1015  0.3083  0.2607  -0.04
U  0.8349  0.3302  0.0000  1.87
Se  0.5902  0.3083  0.7393  -0.04
U  0.1651  0.6698  0.0000  1.87
Se  0.4098  0.6917  0.2607  -0.04
Se  0.8985  0.6917  0.7393  -0.04
Nb  0.6817  0.6366  0.5000  -0.11

---

The following is a DFT calculation (GGA-PBE) of a relaxed NbVSe2 crystal.

Results
**Excess energy over the best structure of this formula in the dataset**: 114.8 meV per atom
**Uncorrected energy**: -27.08 eV per cell
**Calculated volume**: 72.8 Å³/cell

Unit cell a=8.8053 b=8.8053 c=8.8053 alpha=20.43 beta=20.43 gamma=20.43
Positions (direct):
Se  0.8984  0.8984  0.8984
Se  0.1016  0.1016  0.1016
Nb  0.0000  0.0000  0.0000
V  0.5000  0.5000  0.5000

---

The following is a DFT calculation (GGA-PBE) of a relaxed NbV4Se8 crystal.

Results
**Excess energy over the best structure of this formula in the dataset**: 17.4 meV per atom
**Uncorrected energy**: -82.29 eV per cell
**Calculated volume**: 270.3 Å³/cell

Unit cell a=7.2811 b=7.2786 c=7.2322 alpha=90.04 beta=120.21 gamma=119.93
Last column: magnetic moment on the atom in μB.
Positions (direct):
Se  0.0026  0.7566  0.2490  -0.05
Se  0.4921  0.2464  0.2486  -0.06
Nb  0.0000  0.5000  0.5000  -0.52
Se  0.5062  0.2528  0.7590  -0.12
Se  0.9974  0.7539  0.7515  -0.05
V  0.0000  0.5000  0.0000  1.63
Se  0.9974  0.2434  0.7510  -0.05
Se  0.0026  0.2461  0.2485  -0.05
V  0.5000  0.5000  0.0000  1.63
Se  0.5079  0.7536  0.7514  -0.06
Se  0.4938  0.7472  0.2410  -0.12
V  0.5000  0.0000  0.0000  1.62
V  0.0000  0.0000  0.0000  1.91

---

The following is a DFT calculation (GGA-PBE) of a relaxed NbVSe2 crystal.

Results
**Excess energy over the best structure of this formula in the dataset**: 0.0 meV per atom
**Uncorrected energy**: -27.54 eV per cell
**Calculated volume**: 65.8 Å³/cell

Unit cell a=4.5323 b=4.5323 c=4.5323 alpha=60.00 beta=60.00 gamma=60.00
Last column: magnetic moment on the atom in μB.
Positions (direct):
Se  0.2500  0.2500  0.2500  -0.06
Nb  0.5000  0.5000  0.5000  0.00
V  0.0000  0.0000  0.0000  1.95
Se  0.7500  0.7500  0.7500  -0.06

---

Energy relative to the elements, uncorrected (eV per atom)
-0.50; -0.85; -0.49; -0.78; -0.66; -0.58; -0.83; -0.95; -0.07; -0.81; -0.67; -0.60; -0.52; -0.18; -0.85; -0.57; -0.91; -0.23; -0.61; -0.35